DFT (PBE with a Hubbard U) results for crystalline GaFeNO2 at its relaxed geometry.

a = 3.7058 Å, b = 3.7058 Å, c = 4.0293 Å
α = 90.00°, β = 90.00°, γ = 90.00°
Closest atoms and distances in Å follow each position.
Fractional coordinates of all 5 atoms:
1 O 0.0000 0.5000 0.0000  2 Fe 1.85
2 O 0.5000 0.0000 0.0000  2 Fe 1.85
3 Fe 0.0000 0.0000 0.0000  4 O 1.85, 2 N 2.01
4 Ga 0.5000 0.5000 0.5000  4 N 2.62, 8 O 2.74
5 N 0.0000 0.0000 0.5000  2 Fe 2.01

Output
- DFT total energy: -26.7 eV/cell
- Space-group type: No. 123